Entry 1:
Sm2Tm4Sc: relaxed, PBE.

```
data_Sm2Tm4Sc
_cell_length_a 5.887
_cell_length_b 6.559
_cell_length_c 11.441
_cell_angle_alpha 90.00
_cell_angle_beta 104.59
_cell_angle_gamma 90.00
_space_group_name_H-M_alt 'P 1 21/m 1'
_space_group_IT_number 11
loop_
_space_group_symop_operation_xyz
'x,y,z'
'-x,-y,-z'
'-x,y+1/2,-z'
'x,-y+1/2,z'
loop_
_atom_site_label
_atom_site_fract_x
_atom_site_fract_y
_atom_site_fract_z
_atom_site_occupancy
Sm1 0.091 0.250 0.486 1
Sm2 0.338 0.750 0.060 1
Tm1 0.157 0.003 0.790 1
Tm2 0.227 0.250 0.077 1
Tm3 0.360 0.750 0.351 1
Sc1 0.488 0.750 0.649 1
```

Results
* crystal system: monoclinic
* formation energy: 0.145 eV per atom
* polymorph energy (0 for the lowest one): 0.0000 eV per atom

=====

Entry 2:
SmTm8Sc6: relaxed, PBE.

```
data_SmTm8Sc6
_cell_length_a 9.2602
_cell_length_b 9.2602
_cell_length_c 17.2643
_cell_angle_alpha 90.00
_cell_angle_beta 90.00
_cell_angle_gamma 120.00
_space_group_name_H-M_alt 'R -3'
_space_group_IT_number 148
_space_group_name_Hall '-R 3'
loop_
_atom_site_label
_atom_site_fract_x
_atom_site_fract_y
_atom_site_fract_z
_atom_site_occupancy
Sm1 0.0000 0.0000 0.0000 1
Tm1 0.0000 0.0000 0.4109 1
Tm2 0.0536 0.8099 0.1741 1
Sc1 0.0298 0.7399 0.6803 1
```

Results
* crystal system: trigonal
* formation energy: 0.194 eV per atom
* polymorph energy (0 for the lowest one): 0.0132 eV per atom

=====

Entry 3:
SmTm8Sc2: relaxed, PBE.

```
data_SmTm8Sc2
_cell_length_a 5.290
_cell_length_b 8.031
_cell_length_c 15.484
_cell_angle_alpha 90.00
_cell_angle_beta 90.00
_cell_angle_gamma 90.00
_space_group_name_H-M_alt 'I m m m'
_space_group_IT_number 71
_space_group_name_Hall '-I 2 2'
loop_
_atom_site_label
_atom_site_fract_x
_atom_site_fract_y
_atom_site_fract_z
_atom_site_occupancy
Sm1 0.000 0.000 0.000 1
Tm1 0.000 0.201 0.500 1
Tm2 0.000 0.294 0.143 1
Tm3 0.000 0.500 0.336 1
Sc1 0.000 0.000 0.300 1
```

Results
* crystal system: orthorhombic
* formation energy: 0.128 eV per atom
* polymorph energy (0 for the lowest one): 0.0862 eV per atom

=====

Entry 4:
SmYTm2Sc: relaxed, PBE.

```
data_SmYTm2Sc
_cell_length_a 8.109
_cell_length_b 11.187
_cell_length_c 7.056
_cell_angle_alpha 90.00
_cell_angle_beta 90.00
_cell_angle_gamma 90.00
_space_group_name_H-M_alt 'C m c m'
_space_group_IT_number 63
_space_group_name_Hall '-C 2c 2'
loop_
_atom_site_label
_atom_site_fract_x
_atom_site_fract_y
_atom_site_fract_z
_atom_site_occupancy
Sm1 0.000 0.225 0.250 1
Y1 0.000 0.236 0.750 1
Tm1 0.197 0.000 0.000 1
Sc1 0.000 0.490 0.250 1
```

Results
* crystal system: orthorhombic
* formation energy: 0.330 eV per atom